## LaHoCd4 (PBE-GGA)

Data for a relaxed structure of LaHoCd4.

CIF file:
```
data_LaHoCd4
_chemical_formula_sum 'La1 Ho1 Cd4'
_space_group_name_H-M_alt 'P 1'
_space_group_IT_number 1
_cell_length_a 3.400
_cell_length_b 5.002
_cell_length_c 8.696
_cell_angle_alpha 90.00
_cell_angle_beta 90.03
_cell_angle_gamma 90.00
loop_
_space_group_symop_operation_xyz
'x,y,z'
loop_
_atom_site_label
_atom_site_type_symbol
_atom_site_fract_x
_atom_site_fract_y
_atom_site_fract_z
_atom_site_occupancy
Cd1 Cd 0.498 0.500 0.174 1
Cd2 Cd 0.503 0.000 0.339 1
La1 La 0.000 0.000 0.000 1
Cd3 Cd 0.502 0.500 0.826 1
Ho1 Ho 0.000 0.500 0.500 1
Cd4 Cd 0.497 0.000 0.661 1
```

Summary:
- Formation energy from the elements: -339 meV per atom
- Spin magnetization: 0.05 μB/f.u.